# 1
Computed, not measured: a relaxed YNiBr4 crystal at the PBE level of DFT.

Computed properties:
ρ (Mg/m³): 4.766
Uncorrected formation energy (eV per atom): 0.47
SG: F-43m, No. 216
Uncorrected energy (eV/atom): -2.683

Structure (CIF):
```
data_YNiBr4
_cell_length_a 6.1286
_cell_length_b 6.1286
_cell_length_c 6.1286
_cell_angle_alpha 60.00
_cell_angle_beta 60.00
_cell_angle_gamma 60.00
_symmetry_space_group_name_H-M 'P 1'
_symmetry_Int_Tables_number 1
_symmetry_space_group_name_Hall 'P 1'
loop_
_atom_site_label
_atom_site_fract_x
_atom_site_fract_y
_atom_site_fract_z
Br1 0.3754 0.3754 0.8739
Ni1 0.7500 0.7500 0.7500
Br2 0.3754 0.8739 0.3754
Br3 0.3754 0.3754 0.3754
Y1 0.0000 0.0000 0.0000
Br4 0.8739 0.3754 0.3754
```


# 2
Computed, not measured: a relaxed Pm2Zn2Ru2C crystal at the PBE level of DFT.

Computed properties:
ρ (Mg/m³): 8.127
Formation energy (kJ per mole of atoms): -29
SG: C2/m, No. 12
Uncorrected energy (eV/atom): -5.993

Structure (CIF):
```
data_Pm2Zn2Ru2C
_cell_length_a 3.9545
_cell_length_b 5.7790
_cell_length_c 6.4712
_cell_angle_alpha 73.72
_cell_angle_beta 72.21
_cell_angle_gamma 69.99
_symmetry_space_group_name_H-M 'P 1'
_symmetry_Int_Tables_number 1
_symmetry_space_group_name_Hall 'P 1'
loop_
_atom_site_label
_atom_site_fract_x
_atom_site_fract_y
_atom_site_fract_z
Pm1 0.5669 0.1531 0.7132
Ru1 0.1961 0.6753 0.9325
Pm2 0.4331 0.8469 0.2868
Zn1 0.8627 0.6038 0.6709
Zn2 0.1373 0.3962 0.3291
C1 0.0000 0.0000 0.0000
Ru2 0.8039 0.3247 0.0675
```


# 3
Computed, not measured: a relaxed CeAl7Cu12 crystal at the PBE level of DFT.

Computed properties:
ρ (Mg/m³): 6.217
Formation energy (kJ per mole of atoms): -10
SG: R-3m, No. 166
Uncorrected energy (eV/atom): -4.172

Structure (CIF):
```
data_CeAl7Cu12
_cell_length_a 6.4175
_cell_length_b 7.5522
_cell_length_c 7.5522
_cell_angle_alpha 112.31
_cell_angle_beta 106.45
_cell_angle_gamma 106.45
_symmetry_space_group_name_H-M 'P 1'
_symmetry_Int_Tables_number 1
_symmetry_space_group_name_Hall 'P 1'
loop_
_atom_site_label
_atom_site_fract_x
_atom_site_fract_y
_atom_site_fract_z
Ce1 0.0000 0.0000 0.0000
Cu1 0.6064 0.0000 0.6612
Cu2 0.0000 0.7296 0.2704
Cu3 0.7296 0.7296 0.4591
Cu4 0.6064 0.6612 0.0000
Al1 0.5000 0.0000 0.0000
Cu5 0.3936 0.0000 0.3388
Al2 0.5452 0.3481 0.3481
Cu6 0.0547 0.6612 0.6612
Al3 0.8029 0.0000 0.3481
Al4 0.1971 0.6519 0.0000
Cu7 0.7296 0.4591 0.7296
Cu8 0.2704 0.2704 0.5409
Cu9 0.0000 0.2704 0.7296
Al5 0.1971 0.0000 0.6519
Cu10 0.3936 0.3388 0.0000
Al6 0.4548 0.6519 0.6519
Cu11 0.9453 0.3388 0.3388
Al7 0.8029 0.3481 0.0000
Cu12 0.2704 0.5409 0.2704
```


# 4
Computed, not measured: a relaxed Dy3CoSn crystal at the PBE level of DFT.

Computed properties:
ρ (Mg/m³): 8.701
Formation energy (kJ per mole of atoms): -40
SG: P2_1/m, No. 11
E above lowest polymorph (eV/atom): 0.000
Uncorrected energy (eV/atom): -5.398

Structure (CIF):
```
data_Dy3CoSn
_cell_length_a 4.3728
_cell_length_b 7.7960
_cell_length_c 8.2389
_cell_angle_alpha 115.32
_cell_angle_beta 90.00
_cell_angle_gamma 90.00
_symmetry_space_group_name_H-M 'P 1'
_symmetry_Int_Tables_number 1
_symmetry_space_group_name_Hall 'P 1'
loop_
_atom_site_label
_atom_site_fract_x
_atom_site_fract_y
_atom_site_fract_z
Dy1 0.2500 0.3329 0.5889
Dy2 0.2500 0.6748 0.0890
Dy3 0.7500 0.3252 0.9110
Sn1 0.7500 0.6747 0.8045
Dy4 0.7500 0.6671 0.4111
Co1 0.7500 0.0586 0.5745
Sn2 0.2500 0.3253 0.1955
Co2 0.2500 0.9414 0.4255
Dy5 0.7500 0.0457 0.2369
Dy6 0.2500 0.9543 0.7631
```


- ρ of number 3 (CeAl7Cu12)?
  6.217 Mg/m³